Compound: TbPuNiPd
Source: the Alexandria database
Functional: PBE
Structure: optimized geometry

## Properties
- SG = F-43m (216)
- energy relative to the elements (eV/f.u.) = -1.424

Cell and atoms, written as POSCAR:
```
TbPuNiPd
1.0
4.9017 0.0000 0.0000
2.4508 4.2450 0.0000
2.4508 1.4150 4.0022
Tb Pu Ni Pd
1 1 1 1
Direct
0.2500 0.2500 0.2500
0.7500 0.7500 0.7500
0.0000 0.0000 0.0000
0.5000 0.5000 0.5000
```



Compound: LaZnSe
Source: the Alexandria database
Functional: PBE
Structure: optimized geometry

## Properties
- energy relative to the elements, uncorrected (eV per atom) = -0.885
- SG = P4mm (99)

Cell and atoms, written as POSCAR:
```
LaZnSe
1.0
-3.2529 -1.1807 -1.6082
0.8657 -3.6066 0.8969
-2.8740 0.6392 5.3440
La Zn Se
1 1 1
Direct
0.5000 0.5000 0.0880
0.0000 0.0000 0.4534
0.0000 0.0000 0.8727
```



Compound: BiRuN2
Source: the Alexandria database
Functional: PBE
Structure: optimized geometry

## Properties
- energy relative to the elements, uncorrected (eV per atom) = 0.655
- SG = I-42d (122)

Cell and atoms, written as POSCAR:
```
BiRuN2
1.0
-3.1215 4.0636 1.3673
-3.8776 -1.9541 -3.0449
-5.0791 -1.3560 2.7198
Ru Bi N
2 2 4
Direct
0.2500 0.7500 0.5000
0.5000 0.5000 0.0000
0.0000 0.0000 0.0000
0.7500 0.2500 0.5000
0.5327 0.1250 0.2500
0.8750 0.7827 0.7500
0.2173 0.6250 0.2500
0.3750 0.4673 0.7500
```



Compound: NdTmSb
Source: the Alexandria database
Functional: PBE
Structure: optimized geometry

## Properties
- energy relative to the elements, uncorrected (eV per atom) = -0.453
- SG = P3m1 (156)

Cell and atoms, written as POSCAR:
```
NdTmSb
1.0
-0.8380 -4.0082 -0.1845
4.8678 -0.9678 -1.0841
-1.5536 0.1022 4.8356
Sb Tm Nd
1 1 1
Direct
0.2572 0.3333 0.6667
0.1107 0.0000 0.0000
0.6321 0.6667 0.3333
```



Q: Number 2 is which compound?
A: LaZnSe